Record 1
First-principles (PBE) data for an optimized crystal structure of Li3PtBr, as listed in Alexandria via LeMat-Bulk.

Unit cell a=4.6489 b=4.6489 c=4.6489 alpha=90.00 beta=90.00 gamma=90.00
Closest atoms and distances in Å follow each position.
Element x y z (fractional)
Br (0.0000, 0.0000, 0.0000)  6 Li 2.32
Pt (0.5000, 0.5000, 0.5000)  12 Li 3.29
Li (0.0000, 0.5000, 0.0000)  2 Br 2.32
Li (0.0000, 0.0000, 0.5000)  2 Br 2.32
Li (0.5000, 0.0000, 0.0000)  2 Br 2.32

Offset from the most stable computed form   151 meV per atom
E_form (uncorrected)   -393 meV per atom
Calculated total energy   -3.084 eV/atom



Record 2
First-principles (PBE) data for an optimized crystal structure of LiPtBr, as listed in Alexandria via LeMat-Bulk.

Unit cell a=4.3877 b=4.3877 c=7.0590 alpha=90.00 beta=90.00 gamma=120.00
Closest atoms and distances in Å follow each position.
Element x y z (fractional)
Br (0.3333, 0.6667, 0.2470)  3 Pt 2.54
Br (0.3333, 0.6667, 0.7530)  3 Pt 2.54
Pt (0.0000, 0.0000, 0.2809)  3 Br 2.54
Pt (0.0000, 0.0000, 0.7191)  3 Br 2.54
Li (0.6667, 0.3333, 0.0000)  6 Br 3.08, 6 Pt 3.22
Li (0.6667, 0.3333, 0.5000)  6 Pt 2.97, 6 Br 3.10

Offset from the most stable computed form   480 meV per atom
E_form (uncorrected)   -173 meV per atom
Calculated total energy   -3.382 eV/atom



Please write out number 2 again, unchanged.
First-principles (PBE) data for an optimized crystal structure of LiPtBr, as listed in Alexandria via LeMat-Bulk.

Unit cell a=4.3877 b=4.3877 c=7.0590 alpha=90.00 beta=90.00 gamma=120.00
Closest atoms and distances in Å follow each position.
Element x y z (fractional)
Br (0.3333, 0.6667, 0.2470)  3 Pt 2.54
Br (0.3333, 0.6667, 0.7530)  3 Pt 2.54
Pt (0.0000, 0.0000, 0.2809)  3 Br 2.54
Pt (0.0000, 0.0000, 0.7191)  3 Br 2.54
Li (0.6667, 0.3333, 0.0000)  6 Br 3.08, 6 Pt 3.22
Li (0.6667, 0.3333, 0.5000)  6 Pt 2.97, 6 Br 3.10

Offset from the most stable computed form   480 meV per atom
E_form (uncorrected)   -173 meV per atom
Calculated total energy   -3.382 eV/atom



What did the second record say?
First-principles (PBE) data for an optimized crystal structure of LiPtBr, as listed in Alexandria via LeMat-Bulk.

Unit cell a=4.3877 b=4.3877 c=7.0590 alpha=90.00 beta=90.00 gamma=120.00
Closest atoms and distances in Å follow each position.
Element x y z (fractional)
Br (0.3333, 0.6667, 0.2470)  3 Pt 2.54
Br (0.3333, 0.6667, 0.7530)  3 Pt 2.54
Pt (0.0000, 0.0000, 0.2809)  3 Br 2.54
Pt (0.0000, 0.0000, 0.7191)  3 Br 2.54
Li (0.6667, 0.3333, 0.0000)  6 Br 3.08, 6 Pt 3.22
Li (0.6667, 0.3333, 0.5000)  6 Pt 2.97, 6 Br 3.10

Offset from the most stable computed form   480 meV per atom
E_form (uncorrected)   -173 meV per atom
Calculated total energy   -3.382 eV/atom